! PBE-GGA Re2AsIr, relaxed; values from VASP
! DOS at the Fermi energy = 3.636 states/eV per cell
! calculated total energy = -9.1689 eV/atom
! space group = Cmmm, No. 65
! calculated volume = 61 Å³/f.u.
&SYSTEM
  ibrav = 0, nat = 4, ntyp = 3
/
ATOMIC_SPECIES
Re 186.21 Re.upf
As 74.92 As.upf
Ir 192.22 Ir.upf
CELL_PARAMETERS angstrom
2.598 -4.133 0.000
2.598 4.133 0.000
0.000 0.000 2.820
ATOMIC_POSITIONS crystal
Re 0.000 0.500 0.000
Re 0.500 0.000 0.000
As 0.000 0.000 0.500
Ir 0.500 0.500 0.500